1.
The following is a PBE-GGA calculation of a geometry-optimized BaNaCa2 structure, from the Alexandria database.

a = 8.135 Å, b = 8.135 Å, c = 11.868 Å
α = 90.00°, β = 109.97°, γ = 90.00°
Space group C2/m (No. 12)
Asymmetric unit:
Ba: 0.130 0.000 0.261 (multiplicity 4)
Na: 0.000 0.250 0.500 (multiplicity 4)
Ca: 0.128 0.500 0.256 (multiplicity 4)
Ca: 0.250 0.250 0.000 (multiplicity 4)

Summary:
- energy of formation (eV/atom) = 0.04

***

2.
The following is a PBE-GGA calculation of a geometry-optimized Pm3TeC structure, from the Alexandria database.

a = 5.048 Å, b = 5.048 Å, c = 5.048 Å
α = 90.00°, β = 90.00°, γ = 90.00°
Space group Pm-3m (No. 221)
Asymmetric unit:
Pm: 0.000 0.000 0.500 (multiplicity 3)
Te: 0.500 0.500 0.500 (multiplicity 1)
C: 0.000 0.000 0.000 (multiplicity 1)

Summary:
- formation energy without anion corrections (eV per atom) = -0.4794

***

3.
The following is a PBE-GGA calculation of a geometry-optimized Pm3Ga2Co7 structure, from the Alexandria database.

a = 5.2196 Å, b = 5.2196 Å, c = 23.7467 Å
α = 90.00°, β = 90.00°, γ = 120.00°
Space group R-3m (No. 166, hexagonal axes)
Asymmetric unit:
Pm: 0.0000 0.0000 0.0000 (multiplicity 3)
Pm: 0.0000 0.0000 0.1403 (multiplicity 6)
Ga: 0.0000 0.0000 0.3321 (multiplicity 6)
Co: 0.0000 0.0000 0.5000 (multiplicity 3)
Co: 0.0062 0.5031 0.0824 (multiplicity 18)

Summary:
- energy of formation (eV/atom) = -0.22

***

4.
The following is a PBE-GGA calculation of a geometry-optimized Mg2MnGa2 structure, from the Alexandria database.

a = 6.705 Å, b = 6.705 Å, c = 4.112 Å
α = 90.00°, β = 90.00°, γ = 90.00°
Space group P4/mbm (No. 127)
Asymmetric unit:
Mg: 0.172 0.328 0.000 (multiplicity 4)
Mn: 0.000 0.000 0.500 (multiplicity 2)
Ga: 0.136 0.636 0.500 (multiplicity 4)

Summary:
- energy of formation (eV/atom) = -0.01

***

5.
The following is a PBE-GGA calculation of a geometry-optimized Sr3Ca2Mg structure, from the Alexandria database.

a = 6.005 Å, b = 18.057 Å, c = 9.821 Å
α = 90.00°, β = 90.00°, γ = 90.00°
Space group Cmmm (No. 65)
Asymmetric unit:
Sr: 0.000 0.000 0.235 (multiplicity 4)
Sr: 0.000 0.327 0.218 (multiplicity 8)
Ca: 0.000 0.168 0.500 (multiplicity 4)
Ca: 0.000 0.500 0.000 (multiplicity 2)
Ca: 0.000 0.500 0.500 (multiplicity 2)
Mg: 0.000 0.155 0.000 (multiplicity 4)

Summary:
- energy of formation (eV/atom) = 0.01

***

6.
The following is a PBE-GGA calculation of a geometry-optimized BiSeF2 structure, from the Alexandria database.

a = 6.392 Å, b = 6.392 Å, c = 6.392 Å
α = 90.00°, β = 90.00°, γ = 90.00°
Space group Fm-3m (No. 225)
Asymmetric unit:
Bi: 0.000 0.000 0.000 (multiplicity 4)
Se: 0.000 0.000 0.500 (multiplicity 4)
F: 0.250 0.250 0.250 (multiplicity 8)

Summary:
- formation energy without anion corrections (eV per atom) = -0.9480

***

7.
The following is a PBE-GGA calculation of a geometry-optimized Sm6SbAs3Se2 structure, from the Alexandria database.

a = 18.553 Å, b = 4.246 Å, c = 8.515 Å
α = 90.00°, β = 103.64°, γ = 90.00°
Space group C2/m (No. 12)
Asymmetric unit:
Sm: 0.001 0.000 0.239 (multiplicity 4)
Sm: 0.164 0.500 0.090 (multiplicity 4)
Sm: 0.171 0.500 0.579 (multiplicity 4)
Sb: 0.000 0.500 0.500 (multiplicity 2)
As: 0.000 0.500 0.000 (multiplicity 2)
As: 0.166 0.000 0.332 (multiplicity 4)
Se: 0.168 0.000 0.836 (multiplicity 4)

Summary:
- formation energy without anion corrections (eV per atom) = -1.6044

***

8.
The following is a PBE-GGA calculation of a geometry-optimized RbSbAs2Br structure, from the Alexandria database.

a = 6.768 Å, b = 6.768 Å, c = 6.070 Å
α = 90.00°, β = 90.00°, γ = 90.00°
Space group P4/mmm (No. 123)
Asymmetric unit:
Rb: 0.000 0.000 0.000 (multiplicity 1)
Sb: 0.500 0.500 0.500 (multiplicity 1)
As: 0.000 0.500 0.000 (multiplicity 2)
Br: 0.000 0.000 0.500 (multiplicity 1)

Summary:
- formation energy without anion corrections (eV per atom) = 1.0885

***

9.
The following is a PBE-GGA calculation of a geometry-optimized Hf5ZrOs6 structure, from the Alexandria database.

a = 4.614 Å, b = 13.835 Å, c = 6.500 Å
α = 90.00°, β = 90.00°, γ = 90.00°
Space group Cmmm (No. 65)
Asymmetric unit:
Hf: 0.000 0.000 0.000 (multiplicity 2)
Hf: 0.000 0.333 0.000 (multiplicity 4)
Hf: 0.000 0.333 0.500 (multiplicity 4)
Zr: 0.000 0.000 0.500 (multiplicity 2)
Os: 0.000 0.167 0.249 (multiplicity 8)
Os: 0.000 0.500 0.248 (multiplicity 4)

Summary:
- energy of formation (eV/atom) = -0.68

***

10.
The following is a PBE-GGA calculation of a geometry-optimized ZrNiW2 structure, from the Alexandria database.

a = 3.287 Å, b = 3.287 Å, c = 6.068 Å
α = 90.00°, β = 90.00°, γ = 90.00°
Space group P4/mmm (No. 123)
Asymmetric unit:
Zr: 0.000 0.000 0.000 (multiplicity 1)
Ni: 0.000 0.000 0.500 (multiplicity 1)
W: 0.500 0.500 0.291 (multiplicity 2)

Summary:
- energy of formation (eV/atom) = 0.29

***

11.
The following is a PBE-GGA calculation of a geometry-optimized K12Na7Li structure, from the Alexandria database.

a = 18.0360 Å, b = 18.0360 Å, c = 12.0531 Å
α = 90.00°, β = 90.00°, γ = 120.00°
Space group R-3 (No. 148, hexagonal axes)
Asymmetric unit:
K: 0.0443 0.2483 0.4316 (multiplicity 18)
K: 0.0546 0.8038 0.9397 (multiplicity 18)
Na: 0.0000 0.0000 0.5000 (multiplicity 3)
Na: 0.0034 0.8828 0.2417 (multiplicity 18)
Li: 0.0000 0.0000 0.0000 (multiplicity 3)

Summary:
- energy of formation (eV/atom) = 0.03

***

12.
The following is a PBE-GGA calculation of a geometry-optimized CdFeCu2 structure, from the Alexandria database.

a = 2.785 Å, b = 2.785 Å, c = 7.281 Å
α = 90.00°, β = 90.00°, γ = 90.00°
Space group P4mm (No. 99)
Asymmetric unit:
Cd: 0.000 0.000 0.000 (multiplicity 1)
Fe: 0.500 0.500 0.715 (multiplicity 1)
Cu: 0.000 0.000 0.496 (multiplicity 1)
Cu: 0.500 0.500 0.279 (multiplicity 1)

Summary:
- energy of formation (eV/atom) = 0.19

***

13.
The following is a PBE-GGA calculation of a geometry-optimized Ce3YPt12 structure, from the Alexandria database.

a = 4.158 Å, b = 4.158 Å, c = 16.637 Å
α = 90.00°, β = 90.00°, γ = 90.00°
Space group P4/mmm (No. 123)
Asymmetric unit:
Ce: 0.000 0.000 0.000 (multiplicity 1)
Ce: 0.000 0.000 0.252 (multiplicity 2)
Y: 0.000 0.000 0.500 (multiplicity 1)
Pt: 0.000 0.500 0.126 (multiplicity 4)
Pt: 0.000 0.500 0.375 (multiplicity 4)
Pt: 0.500 0.500 0.000 (multiplicity 1)
Pt: 0.500 0.500 0.251 (multiplicity 2)
Pt: 0.500 0.500 0.500 (multiplicity 1)

Summary:
- energy of formation (eV/atom) = -1.00

***

14.
The following is a PBE-GGA calculation of a geometry-optimized LiYHfIr structure, from the Alexandria database.

a = 6.753 Å, b = 6.753 Å, c = 6.753 Å
α = 90.00°, β = 90.00°, γ = 90.00°
Space group F-43m (No. 216)
Asymmetric unit:
Li: 0.000 0.000 0.000 (multiplicity 4)
Y: 0.250 0.250 0.750 (multiplicity 4)
Hf: 0.250 0.250 0.250 (multiplicity 4)
Ir: 0.000 0.000 0.500 (multiplicity 4)

Summary:
- energy of formation (eV/atom) = -0.48

***

15.
The following is a PBE-GGA calculation of a geometry-optimized Y4Cd5Rh2 structure, from the Alexandria database.

a = 7.725 Å, b = 3.630 Å, c = 9.545 Å
α = 90.00°, β = 93.90°, γ = 90.00°
Space group P2/m (No. 10)
Asymmetric unit:
Y: 0.170 0.000 0.351 (multiplicity 2)
Y: 0.216 0.000 0.944 (multiplicity 2)
Cd: 0.187 0.500 0.652 (multiplicity 2)
Cd: 0.453 0.500 0.173 (multiplicity 2)
Cd: 0.500 0.500 0.500 (multiplicity 1)
Rh: 0.075 0.500 0.144 (multiplicity 2)

Summary:
- energy of formation (eV/atom) = -0.50

***

16.
The following is a PBE-GGA calculation of a geometry-optimized SmThAg2 structure, from the Alexandria database.

a = 3.645 Å, b = 3.645 Å, c = 7.765 Å
α = 90.00°, β = 90.00°, γ = 90.00°
Space group P4/mmm (No. 123)
Asymmetric unit:
Sm: 0.000 0.000 0.000 (multiplicity 1)
Th: 0.000 0.000 0.500 (multiplicity 1)
Ag: 0.500 0.500 0.239 (multiplicity 2)

Summary:
- energy of formation (eV/atom) = -0.15

***

17.
The following is a PBE-GGA calculation of a geometry-optimized DyLuZr structure, from the Alexandria database.

a = 3.3848 Å, b = 3.3848 Å, c = 8.3280 Å
α = 90.00°, β = 90.00°, γ = 120.00°
Space group P3m1 (No. 156)
Asymmetric unit:
Dy: 0.0000 0.0000 0.0000 (multiplicity 1)
Lu: 0.3333 0.6667 0.6347 (multiplicity 1)
Zr: 0.6667 0.3333 0.3198 (multiplicity 1)

Summary:
- energy of formation (eV/atom) = 0.08

***

18.
The following is a PBE-GGA calculation of a geometry-optimized Ho3Be2Ge3 structure, from the Alexandria database.

a = 4.026 Å, b = 10.691 Å, c = 13.901 Å
α = 90.00°, β = 90.00°, γ = 90.00°
Space group Cmcm (No. 63)
Asymmetric unit:
Ho: 0.000 0.070 0.111 (multiplicity 8)
Ho: 0.000 0.357 0.250 (multiplicity 4)
Be: 0.000 0.227 0.603 (multiplicity 8)
Ge: 0.000 0.350 0.750 (multiplicity 4)
Ge: 0.000 0.359 0.044 (multiplicity 8)

Summary:
- energy of formation (eV/atom) = -0.60

***

19.
The following is a PBE-GGA calculation of a geometry-optimized LiRe2Sb structure, from the Alexandria database.

a = 3.153 Å, b = 3.153 Å, c = 6.172 Å
α = 90.00°, β = 90.00°, γ = 90.00°
Space group P4mm (No. 99)
Asymmetric unit:
Li: 0.000 0.000 0.000 (multiplicity 1)
Re: 0.000 0.000 0.460 (multiplicity 1)
Re: 0.500 0.500 0.216 (multiplicity 1)
Sb: 0.500 0.500 0.749 (multiplicity 1)

Summary:
- formation energy without anion corrections (eV per atom) = 0.2146

***

20.
The following is a PBE-GGA calculation of a geometry-optimized Ti4O structure, from the Alexandria database.

a = 5.564 Å, b = 5.285 Å, c = 5.548 Å
α = 90.00°, β = 117.10°, γ = 90.00°
Space group P2_1/c (No. 14)
Asymmetric unit:
Ti: 0.104 0.170 0.372 (multiplicity 4)
Ti: 0.394 0.640 0.641 (multiplicity 4)
O: 0.000 0.000 0.000 (multiplicity 2)

Summary:
- formation energy without anion corrections (eV per atom) = -1.1185

***

These records have N(E_F) values of 4.43; 4.27; 16.36; 2.82; 7.72; 1.73; 3.99; 0.95; 1.26; 5.57; 11.72; 2.56; 7.85; 3.00; 6.49; 3.72; 3.32; 3.96; 1.55; 3.61 states/eV/f.u., in the order they appear.